# ScO3 | Alexandria via LeMat-Bulk | PBE | optimized geometry
data_ScO3
_cell_length_a 4.3161
_cell_length_b 4.3161
_cell_length_c 4.8083
_cell_angle_alpha 90.00
_cell_angle_beta 90.00
_cell_angle_gamma 120.00
_symmetry_space_group_name_H-M 'P 63/m m c'
_symmetry_Int_Tables_number 194
_symmetry_space_group_name_Hall '-P 6c 2c'
loop_
_atom_site_label
_atom_site_type_symbol
_atom_site_fract_x
_atom_site_fract_y
_atom_site_fract_z
Sc1 Sc 0.3333 0.6667 0.2500
O1 O 0.1717 0.3435 0.7500
# size of the total moment	0.00	μB/atom
# final energy	-6.567	eV per atom
# crystal system	hexagonal
# formation energy (no corrections)	-1.265	eV per atom